[1]
VASP calculation (PBE-GGA) on a relaxed Cr2CoTc crystal.

abc: 4.7839 4.7839 4.7839
angles: 143.96 129.51 63.59
Last column: nearest neighbours and their distance in Å.
Atoms (fractional coordinates):
Cr 0.9856 0.9856 0.0000  2 Cr 2.35, 4 Tc 2.53, 2 Co 2.56
Tc 0.5112 0.5112 0.0000  6 Cr 2.51-2.53, 4 Co 2.64-2.77
Cr 0.7607 0.2607 0.5000  2 Cr 2.35, 2 Tc 2.51, 4 Co 2.52
Co 0.2425 0.7425 0.5000  6 Cr 2.52-2.56, 4 Tc 2.64-2.77

Uncorrected energy (eV/atom): -9.05
Spin magnetization (μB per cell): 1.55
ρ (Mg/m³): 8.82
E_form (kcal/mol of atoms): 2.89

=====

[2]
VASP calculation (PBE-GGA) on a relaxed Dy3Th2Sc crystal.

abc: 3.5392 9.8460 10.5106
angles: 90.53 90.00 90.00
Last column: nearest neighbours and their distance in Å.
Atoms (fractional coordinates):
Dy 0.7500 0.6386 0.9164  2 Sc 3.42, 3 Th 3.48-3.49, 7 Dy 3.52-3.71
Dy 0.2500 0.8741 0.4156  3 Th 3.46-3.50, 6 Dy 3.50-3.54, 3 Sc 3.51-3.52
Sc 0.7500 0.1256 0.2502  5 Th 3.41-3.54, 5 Dy 3.42-3.52, 2 Sc 3.54
Th 0.7500 0.1157 0.9134  3 Sc 3.41-3.54, 4 Th 3.42-3.54, 5 Dy 3.46-3.59
Dy 0.2500 0.3614 0.0836  2 Sc 3.42, 3 Th 3.48-3.49, 7 Dy 3.52-3.71
Sc 0.2500 0.8744 0.7498  5 Th 3.41-3.54, 5 Dy 3.42-3.52, 2 Sc 3.54
Th 0.7500 0.6282 0.5848  2 Sc 3.46, 6 Dy 3.49-3.51, 4 Th 3.54-3.55
Dy 0.7500 0.1259 0.5844  3 Th 3.46-3.50, 6 Dy 3.50-3.54, 3 Sc 3.51-3.52
Dy 0.2500 0.3782 0.7490  7 Dy 3.50-3.57, 5 Th 3.50-3.59
Th 0.2500 0.8843 0.0866  3 Sc 3.41-3.54, 4 Th 3.42-3.54, 5 Dy 3.46-3.59
Th 0.2500 0.3718 0.4152  2 Sc 3.46, 6 Dy 3.49-3.51, 4 Th 3.54-3.55
Dy 0.7500 0.6218 0.2510  7 Dy 3.50-3.57, 5 Th 3.50-3.59

Uncorrected energy (eV/atom): -5.79
Spin magnetization (μB per cell): 0.00
ρ (Mg/m³): 9.04
E_form (kcal/mol of atoms): 0.81

=====

[3]
VASP calculation (PBE-GGA) on a relaxed Tc3SbAs crystal.

abc: 4.8602 4.8602 4.8602
angles: 90.00 90.00 90.00
Last column: nearest neighbours and their distance in Å.
Atoms (fractional coordinates):
Tc 0.0000 0.0000 0.5000  2 Sb 2.43
Sb 0.0000 0.0000 0.0000  6 Tc 2.43
Tc 0.5000 0.0000 0.0000  2 Sb 2.43
As 0.5000 0.5000 0.5000  12 Tc 3.44
Tc 0.0000 0.5000 0.0000  2 Sb 2.43

Uncorrected energy (eV/atom): -6.03
Formation energy without anion corrections (meV per atom): 1939
Spin magnetization (μB per cell): 2.82
ρ (Mg/m³): 7.10

=====

[4]
VASP calculation (PBE-GGA) on a relaxed Cs2TlBr2Cl2 crystal.

abc: 5.5813 5.5813 9.9878
angles: 106.22 106.22 90.00
Last column: nearest neighbours and their distance in Å.
Atoms (fractional coordinates):
Br 0.1634 0.1634 0.3267  1 Tl 3.00
Cl 0.0000 0.5000 0.0000  2 Tl 2.79
Cs 0.3626 0.3626 0.7251  5 Br 3.66-3.98, 4 Cl 3.76
Cs 0.6374 0.6374 0.2749  5 Br 3.66-3.98, 4 Cl 3.76
Br 0.8366 0.8366 0.6733  1 Tl 3.00
Cl 0.5000 0.0000 0.0000  2 Tl 2.79
Tl 0.0000 0.0000 0.0000  4 Cl 2.79, 2 Br 3.00

Uncorrected energy (eV/atom): -2.99
Formation energy without anion corrections (meV per atom): -1399
Spin magnetization (μB per cell): 0.00
ρ (Mg/m³): 4.07

=====

[5]
VASP calculation (PBE-GGA) on a relaxed Sm12Co2Hg5 crystal.

abc: 7.6148 9.2089 9.9182
angles: 105.82 90.00 114.42
Last column: nearest neighbours and their distance in Å.
Atoms (fractional coordinates):
Sm 0.5995 0.6994 0.4276  4 Hg 3.07-3.14
Sm 0.0004 0.0009 0.1816  2 Co 2.86, 1 Hg 3.16
Hg 0.3025 0.6049 0.6401  7 Sm 3.09-3.18
Hg 0.0000 0.0000 0.5000  6 Sm 3.07-3.16
Hg 0.6935 0.3871 0.8358  7 Sm 3.10-3.19
Sm 0.8927 0.3203 0.0814  1 Co 2.57
Sm 0.9996 0.9991 0.8184  2 Co 2.86, 1 Hg 3.16
Hg 0.3065 0.6129 0.1642  7 Sm 3.10-3.19
Sm 0.5724 0.6797 0.9186  1 Co 2.57
Sm 0.4276 0.3203 0.0814  1 Co 2.57
Hg 0.6975 0.3951 0.3599  7 Sm 3.09-3.18
Sm 0.5008 0.0015 0.2293  2 Co 2.77
Co 0.2913 0.0000 0.0000  6 Sm 2.57-2.86
Sm 0.9001 0.3006 0.5724  4 Hg 3.07-3.14
Co 0.7087 0.0000 0.0000  6 Sm 2.57-2.86
Sm 0.4005 0.3006 0.5724  4 Hg 3.07-3.14
Sm 0.4992 0.9985 0.7707  2 Co 2.77
Sm 0.1073 0.6797 0.9186  1 Co 2.57
Sm 0.0999 0.6994 0.4276  4 Hg 3.07-3.14

Uncorrected energy (eV/atom): -3.93
Spin magnetization (μB per cell): 0.00
ρ (Mg/m³): 8.04
E_form (kcal/mol of atoms): -2.89

=====

[6]
VASP calculation (PBE-GGA) on a relaxed AlCoS3 crystal.

abc: 4.4296 4.4296 4.4296
angles: 90.00 90.00 90.00
Last column: nearest neighbours and their distance in Å.
Atoms (fractional coordinates):
S 0.0000 0.5000 0.0000  2 Co 2.21
Al 0.5000 0.5000 0.5000  12 S 3.13
S 0.0000 0.0000 0.5000  2 Co 2.21
Co 0.0000 0.0000 0.0000  6 S 2.21
S 0.5000 0.0000 0.0000  2 Co 2.21

Uncorrected energy (eV/atom): -4.33
Formation energy without anion corrections (meV per atom): 315
Spin magnetization (μB per cell): 0.63
ρ (Mg/m³): 3.48

=====

[7]
VASP calculation (PBE-GGA) on a relaxed ZrH crystal.

abc: 6.9149 8.6994 6.9286
angles: 90.00 90.00 90.00
Last column: nearest neighbours and their distance in Å.
Atoms (fractional coordinates):
H 0.7500 0.8741 0.7500  4 Zr 2.05-2.11, 1 H 2.16
H 0.2500 0.1259 0.7500  4 Zr 2.05-2.11, 1 H 2.16
Zr 0.7621 0.0000 0.5000  4 H 2.05-2.11
Zr 0.5121 0.2500 0.7500  4 H 2.05-2.11
Zr 0.0121 0.7500 0.7500  4 H 2.05-2.11
H 0.7500 0.3741 0.2500  4 Zr 2.05-2.11, 1 H 2.16
Zr 0.9879 0.2500 0.7500  4 H 2.05-2.11
Zr 0.2379 0.5000 0.0000  4 H 2.05-2.11
Zr 0.5121 0.7500 0.2500  4 H 2.05-2.11
Zr 0.7379 0.5000 0.5000  4 H 2.05-2.11
H 0.2500 0.6259 0.2500  4 Zr 2.05-2.11, 1 H 2.16
H 0.0000 0.3759 0.5000  4 Zr 2.05-2.11, 1 H 2.16
Zr 0.4879 0.2500 0.2500  4 H 2.05-2.11
H 0.5000 0.3759 0.0000  4 Zr 2.05-2.11, 1 H 2.16
H 0.7500 0.1259 0.2500  4 Zr 2.05-2.11, 1 H 2.16
Zr 0.7379 0.0000 0.0000  4 H 2.05-2.11
H 0.0000 0.1241 0.0000  4 Zr 2.05-2.11, 1 H 2.16
H 0.0000 0.8759 0.0000  4 Zr 2.05-2.11, 1 H 2.16
Zr 0.2621 0.0000 0.0000  4 H 2.05-2.11
H 0.5000 0.1241 0.5000  4 Zr 2.05-2.11, 1 H 2.16
H 0.2500 0.3741 0.7500  4 Zr 2.05-2.11, 1 H 2.16
Zr 0.0121 0.2500 0.2500  4 H 2.05-2.11
Zr 0.9879 0.7500 0.2500  4 H 2.05-2.11
H 0.2500 0.8741 0.2500  4 Zr 2.05-2.11, 1 H 2.16
Zr 0.7621 0.5000 0.0000  4 H 2.05-2.11
H 0.7500 0.6259 0.7500  4 Zr 2.05-2.11, 1 H 2.16
H 0.0000 0.6241 0.5000  4 Zr 2.05-2.11, 1 H 2.16
H 0.5000 0.6241 0.0000  4 Zr 2.05-2.11, 1 H 2.16
Zr 0.2621 0.5000 0.5000  4 H 2.05-2.11
Zr 0.2379 0.0000 0.5000  4 H 2.05-2.11
Zr 0.4879 0.7500 0.7500  4 H 2.05-2.11
H 0.5000 0.8759 0.5000  4 Zr 2.05-2.11, 1 H 2.16

Uncorrected energy (eV/atom): -6.34
Spin magnetization (μB per cell): 0.00
ρ (Mg/m³): 5.88

=====

[8]
VASP calculation (PBE-GGA) on a relaxed TbAl6Pd3 crystal.

abc: 4.1758 8.1010 10.6329
angles: 96.36 90.00 90.00
Last column: nearest neighbours and their distance in Å.
Atoms (fractional coordinates):
Pd 0.2500 0.8756 0.9399  4 Al 2.52-2.73
Pd 0.2500 0.2635 0.4568  7 Al 2.54-2.64
Al 0.2500 0.9373 0.5585  2 Pd 2.64, 3 Al 2.69-2.94
Pd 0.7500 0.1244 0.0601  4 Al 2.52-2.73
Al 0.7500 0.4403 0.0830  4 Pd 2.54-2.66, 2 Al 2.79
Al 0.2500 0.2135 0.9528  5 Pd 2.52-2.80, 1 Al 2.82
Pd 0.7500 0.7365 0.5432  7 Al 2.54-2.64
Al 0.2500 0.2721 0.6964  3 Pd 2.54-2.66, 3 Al 2.82-2.84
Tb 0.2500 0.9849 0.2284  7 Al 2.88-3.16, 5 Pd 2.91-3.13
Pd 0.2500 0.6268 0.1610  8 Al 2.51-2.80
Al 0.7500 0.6588 0.7691  2 Pd 2.51-2.55, 3 Al 2.79
Al 0.7500 0.4140 0.5632  3 Pd 2.61-2.64, 5 Al 2.79-2.92
Al 0.7500 0.0627 0.4415  2 Pd 2.64, 3 Al 2.69-2.94
Al 0.2500 0.5860 0.4368  3 Pd 2.61-2.64, 5 Al 2.79-2.92
Pd 0.7500 0.3732 0.8390  8 Al 2.51-2.80
Al 0.7500 0.7865 0.0472  5 Pd 2.52-2.80, 1 Al 2.82
Al 0.7500 0.7279 0.3036  3 Pd 2.54-2.66, 3 Al 2.82-2.84
Al 0.2500 0.3412 0.2309  2 Pd 2.51-2.55, 3 Al 2.79
Al 0.2500 0.5597 0.9170  4 Pd 2.54-2.66, 2 Al 2.79
Tb 0.7500 0.0151 0.7716  7 Al 2.88-3.16, 5 Pd 2.91-3.13

Uncorrected energy (eV/atom): -4.85
Spin magnetization (μB per cell): 0.00
ρ (Mg/m³): 5.95
E_form (kcal/mol of atoms): -13.35